1.
First-principles (SCAN) data for a crystal of Y2SiPb relaxed with PBEsol, as listed in the Alexandria database.

Properties
The value obtained for the density of states at the Fermi level is 3.94 states/eV/f.u. Its offset from the most stable computed form is 164 meV/atom. The symmetry is No. 225. As for the energy relative to the elements, uncorrected: -46.3 kJ/mol of atoms. The crystal system is cubic. As for the total DFT energy (no corrections): -35.85 eV per atom. Its volume is 24.3 Å³ per atom.

a b c (Å): 5.1638 5.1638 5.1638
angles (deg): 60.00 60.00 60.00
Last column: nearest neighbours and their distance in Å.
Fractional coordinates of all 4 atoms:
Y: 0.2500 0.2500 0.2500  4 Pb 3.16, 4 Si 3.16
Y: 0.7500 0.7500 0.7500  4 Pb 3.16, 4 Si 3.16
Si: 0.0000 0.0000 0.0000  8 Y 3.16
Pb: 0.5000 0.5000 0.5000  8 Y 3.16

=====

2.
First-principles (SCAN) data for a crystal of YSiPb2 relaxed with PBEsol, as listed in the Alexandria database.

Properties
The value obtained for the density of states at the Fermi level is 1.92 states/eV/f.u. The symmetry is No. 123. As for the energy relative to the elements, uncorrected: -20.0 kJ/mol of atoms. The crystal system is tetragonal. As for the total DFT energy (no corrections): -47.56 eV per atom. Its volume is 24.3 Å³ per atom.

a b c (Å): 4.4950 4.4950 4.8165
angles (deg): 90.00 90.00 90.00
Last column: nearest neighbours and their distance in Å.
Fractional coordinates of all 4 atoms:
Y: 0.0000 0.0000 0.0000  4 Si 3.18, 8 Pb 3.29
Si: 0.5000 0.5000 0.0000  4 Y 3.18, 8 Pb 3.29
Pb: 0.0000 0.5000 0.5000  4 Pb 3.18, 4 Si 3.29, 4 Y 3.29
Pb: 0.5000 0.0000 0.5000  4 Pb 3.18, 4 Si 3.29, 4 Y 3.29

=====

3.
First-principles (SCAN) data for a crystal of YSiPb2 relaxed with PBEsol, as listed in the Alexandria database.

Properties
The value obtained for the density of states at the Fermi level is 2.00 states/eV/f.u. The symmetry is No. 99. As for the energy relative to the elements, uncorrected: -18.5 kJ/mol of atoms. The crystal system is tetragonal. As for the total DFT energy (no corrections): -47.55 eV per atom. Its volume is 25.6 Å³ per atom.

a b c (Å): 3.9706 3.9706 6.4930
angles (deg): 90.00 90.00 90.00
Last column: nearest neighbours and their distance in Å.
Fractional coordinates of all 4 atoms:
Y: 0.0000 0.0000 0.0000  4 Si 2.95, 1 Pb 3.03
Si: 0.5000 0.5000 0.8583  1 Pb 2.79, 4 Y 2.95
Pb: 0.0000 0.0000 0.5336  1 Y 3.03, 4 Pb 3.23
Pb: 0.5000 0.5000 0.2877  1 Si 2.79

=====

4.
First-principles (SCAN) data for a crystal of YSiPb2 relaxed with PBEsol, as listed in the Alexandria database.

Properties
The value obtained for the density of states at the Fermi level is 2.09 states/eV/f.u. The symmetry is No. 139. As for the energy relative to the elements, uncorrected: -18.3 kJ/mol of atoms. The crystal system is tetragonal. As for the total DFT energy (no corrections): -47.54 eV per atom. Its volume is 24.6 Å³ per atom.

a b c (Å): 6.0714 6.0714 6.0714
angles (deg): 138.14 138.14 60.69
Last column: nearest neighbours and their distance in Å.
Fractional coordinates of all 4 atoms:
Y: 0.0000 0.0000 0.0000  4 Si 3.07, 8 Pb 3.40
Si: 0.5000 0.5000 0.0000  4 Y 3.07, 8 Pb 3.40
Pb: 0.2500 0.7500 0.5000  4 Pb 3.07, 4 Si 3.40, 4 Y 3.40
Pb: 0.7500 0.2500 0.5000  4 Pb 3.07, 4 Si 3.40, 4 Y 3.40

=====

5.
First-principles (SCAN) data for a crystal of Y2SiPb relaxed with PBEsol, as listed in the Alexandria database.

Properties
The value obtained for the density of states at the Fermi level is 3.34 states/eV/f.u. Its offset from the most stable computed form is 0 meV/atom. The symmetry is No. 166. As for the energy relative to the elements, uncorrected: -62.1 kJ/mol of atoms. The crystal system is trigonal. As for the total DFT energy (no corrections): -36.01 eV per atom. Its volume is 26.7 Å³ per atom.

a b c (Å): 8.4385 8.4385 8.4385
angles (deg): 26.67 26.67 26.67
Last column: nearest neighbours and their distance in Å.
Fractional coordinates of all 4 atoms:
Y: 0.2363 0.2363 0.2363  3 Si 2.82
Y: 0.7637 0.7637 0.7637  3 Si 2.82
Si: 0.5000 0.5000 0.5000  6 Y 2.82
Pb: 0.0000 0.0000 0.0000  6 Y 3.27

=====

6.
First-principles (SCAN) data for a crystal of YSi2Pb relaxed with PBEsol, as listed in the Alexandria database.

Properties
The value obtained for the density of states at the Fermi level is 1.79 states/eV/f.u. The symmetry is No. 65. As for the energy relative to the elements, uncorrected: 17.8 kJ/mol of atoms. The crystal system is orthorhombic. As for the total DFT energy (no corrections): -30.73 eV per atom. Its volume is 22.0 Å³ per atom.

a b c (Å): 3.2405 3.2405 8.3781
angles (deg): 90.00 90.00 90.12
Last column: nearest neighbours and their distance in Å.
Fractional coordinates of all 4 atoms:
Y: 0.0000 0.0000 0.0000  8 Si 3.01, 4 Y 3.24
Si: 0.5000 0.5000 0.2335  4 Y 3.01, 4 Pb 3.20, 4 Si 3.24
Si: 0.5000 0.5000 0.7665  4 Y 3.01, 4 Pb 3.20, 4 Si 3.24
Pb: 0.0000 0.0000 0.5000  8 Si 3.20, 4 Pb 3.24